Entry 1:
DyY2ErSc2 | PBE-GGA | relaxed

Calculated values
**Formation enthalpy at 0 K**: 0.074 eV/atom

abc: 5.4547 9.4114 6.8251
angles: 90.00 90.00 90.00
Last column: nearest neighbours and their distance in Å.
Atoms (fractional coordinates):
Dy: 0.5000 0.5000 0.0000  2 Er 3.41, 6 Sc 3.57-3.58, 6 Y 3.57-3.58
Dy: 0.0000 0.0000 0.5000  2 Er 3.41, 6 Sc 3.57-3.58, 6 Y 3.57-3.58
Y: 0.5000 0.8339 0.2491  5 Sc 3.14-3.42
Y: 0.5000 0.1661 0.7509  5 Sc 3.14-3.42
Y: 0.0000 0.6661 0.7491  5 Sc 3.14-3.42
Y: 0.0000 0.3339 0.2509  5 Sc 3.14-3.42
Er: 0.0000 0.0000 0.0000  2 Dy 3.41, 6 Sc 3.56-3.58, 6 Y 3.57-3.58
Er: 0.5000 0.5000 0.5000  2 Dy 3.41, 6 Sc 3.56-3.58, 6 Y 3.57-3.58
Sc: 0.5000 0.1674 0.2502  5 Y 3.14-3.42
Sc: 0.0000 0.6674 0.2498  5 Y 3.14-3.42
Sc: 0.5000 0.8326 0.7498  5 Y 3.14-3.42
Sc: 0.0000 0.3326 0.7502  5 Y 3.14-3.42

---

Entry 2:
LiHfSn | PBE-GGA | relaxed

Calculated values
**Formation enthalpy at 0 K**: -0.248 eV/atom

abc: 3.2440 4.5425 4.5425
angles: 120.00 90.00 90.00
Last column: nearest neighbours and their distance in Å.
Atoms (fractional coordinates):
Hf: 0.6667 0.3333 0.6667  6 Li 3.08, 6 Sn 3.08, 2 Hf 3.24
Sn: 0.1672 0.0000 0.0000  3 Li 2.62
Li: 0.1661 0.6667 0.3333  3 Sn 2.62

---

Entry 3:
CuBBr2 | PBE-GGA | relaxed

abc: 7.8236 7.8236 7.8236
angles: 30.10 30.10 30.10
Last column: nearest neighbours and their distance in Å.
Atoms (fractional coordinates):
B: 0.5000 0.5000 0.5000  6 Br 2.78
Cu: 0.0000 0.0000 0.0000  2 Br 2.25
Br: 0.8997 0.8997 0.8997  1 Cu 2.25
Br: 0.1003 0.1003 0.1003  1 Cu 2.25

---

Entry 4:
Mn5V6Rh | PBE-GGA | relaxed

Calculated values
**Formation enthalpy at 0 K**: -0.251 eV/atom

abc: 4.1039 5.8117 7.1011
angles: 114.16 106.80 90.00
Last column: nearest neighbours and their distance in Å.
Atoms (fractional coordinates):
Mn: 0.6658 0.1658 0.3315  8 V 2.45-2.55
Mn: 0.3330 0.3330 0.6659  8 V 2.47-2.50
Mn: 0.0000 0.5000 0.0000  8 V 2.47-2.54
Mn: 0.6670 0.6670 0.3341  8 V 2.47-2.50
Mn: 0.3342 0.8342 0.6685  8 V 2.45-2.55
Rh: 0.0000 0.0000 0.0000  8 V 2.56-2.58
V: 0.8285 0.5729 0.6569  7 Mn 2.45-2.54, 1 Rh 2.58
V: 0.8285 0.0840 0.6569  7 Mn 2.45-2.54, 1 Rh 2.58
V: 0.5000 0.7366 0.0000  6 Mn 2.47-2.55, 2 Rh 2.56, 1 V 2.75
V: 0.5000 0.2634 0.0000  6 Mn 2.47-2.55, 2 Rh 2.56, 1 V 2.75
V: 0.1715 0.9160 0.3431  7 Mn 2.45-2.54, 1 Rh 2.58
V: 0.1715 0.4271 0.3431  7 Mn 2.45-2.54, 1 Rh 2.58

---

no.,M_tot (μB/f.u.),E (eV per cell)
1,0.01,-68.63
2,0.00,-16.61
3,0.00,-11.01
4,0.00,-110.93